Entry 1:
This record from OQMD describes a relaxed K2TePtS crystal. The functional is PBE.

Output
M_tot in μB/atom: 0.000
Raw total energy in eV/cell: -19.73
Symmetry: Imm2 (44)

a = 6.582 Å, b = 6.582 Å, c = 6.582 Å
α = 146.28°, β = 79.52°, γ = 110.50°
Element x y z (fractional)
K1 0.197 0.000 0.197
K2 0.803 0.000 0.803
Te1 0.310 0.810 0.500
Pt1 0.551 0.551 0.000
S1 0.752 0.252 0.500

***

Entry 2:
This record from OQMD describes a relaxed K2PtWS6 crystal. The functional is PBE.

Output
M_tot in μB/atom: 0.191
Raw total energy in eV/cell: -48.84
Symmetry: I4/mmm (139)

a = 7.358 Å, b = 7.358 Å, c = 7.358 Å
α = 126.68°, β = 126.68°, γ = 78.78°
Element x y z (fractional)
K1 0.250 0.750 0.500
K2 0.750 0.250 0.500
Pt1 0.000 0.000 0.000
W1 0.500 0.500 0.000
S1 0.246 0.246 0.493
S2 0.246 0.754 0.000
S3 0.293 0.293 0.000
S4 0.707 0.707 0.000
S5 0.754 0.246 0.000
S6 0.754 0.754 0.507

***

Entry 3:
This record from OQMD describes a relaxed KZrPtS3 crystal. The functional is PBE.

Output
M_tot in μB/atom: 0.000
Raw total energy in eV/cell: -70.16
Symmetry: P2_1/m (11)

a = 8.519 Å, b = 3.707 Å, c = 9.517 Å
α = 90.00°, β = 112.83°, γ = 90.00°
Element x y z (fractional)
K1 0.216 0.250 0.237
K2 0.784 0.750 0.763
Zr1 0.323 0.750 0.824
Zr2 0.677 0.250 0.176
Pt1 0.128 0.250 0.569
Pt2 0.872 0.750 0.431
S1 0.113 0.250 0.829
S2 0.284 0.750 0.542
S3 0.443 0.750 0.127
S4 0.557 0.250 0.873
S5 0.716 0.250 0.458
S6 0.887 0.750 0.171

***

Entry 4:
This record from OQMD describes a relaxed KSbPt crystal. The functional is PBE.

Output
M_tot in μB/atom: 0.001
Symmetry: F-43m (216)
Energy above the lowest structure with this stoichiometry in meV/atom: 1352

a = 4.981 Å, b = 4.981 Å, c = 4.981 Å
α = 60.00°, β = 60.00°, γ = 60.00°
Element x y z (fractional)
K1 0.000 0.000 0.000
Sb1 0.250 0.250 0.250
Pt1 0.750 0.750 0.750